DFT (PBE) results for a relaxed NiBSbRh2 crystal. Values from VASP.

Summary:
SG: P4/mmm
M_tot: 0.268 μB per atom
formation energy without anion corrections: 1.67 eV per atom
Fermi-level density of states: 10.74 states/eV/cell
crystal system: tetragonal

```
&SYSTEM
  ibrav = 0, nat = 5, ntyp = 4
/
ATOMIC_SPECIES
Ni 58.69 Ni.upf
B 10.81 B.upf
Sb 121.76 Sb.upf
Rh 102.91 Rh.upf
CELL_PARAMETERS angstrom
4.878 0.000 0.000
0.000 4.878 0.000
0.000 0.000 4.198
ATOMIC_POSITIONS angstrom
Ni 0.000 0.000 0.000
B 2.439 2.439 0.000
Sb 2.439 2.439 2.099
Rh 0.000 2.439 2.099
Rh 2.439 0.000 2.099
```